Entry 1:
! Nd2Ag PBE optimized geometry; values from VASP
! Formation energy from the elements, meV per atom: -66
! Calculated volume, Å³ per atom: 29.108
! Total magnetization, μB per atom: 0.000
&SYSTEM
  ibrav = 0, nat = 6, ntyp = 2
/
ATOMIC_SPECIES
Nd 144.24 Nd.upf
Ag 107.87 Ag.upf
ATOMIC_POSITIONS crystal
Nd 0.1896 0.4330 0.8917
Nd 0.5670 0.8104 0.6083
Nd 0.4330 0.1896 0.3917
Nd 0.8104 0.5670 0.1083
Ag 0.1223 0.8777 0.7500
Ag 0.8777 0.1223 0.2500
CELL_PARAMETERS angstrom
-4.3475 4.0783 2.2907
-1.8444 -4.7747 -3.8185
1.9086 -2.6110 4.5657

---

Entry 2:
! KTa2Rh PBE optimized geometry; values from VASP
! Formation energy from the elements, meV per atom: 645
! Calculated volume, Å³ per atom: 22.019
! Total magnetization, μB per atom: 0.000
&SYSTEM
  ibrav = 0, nat = 4, ntyp = 3
/
ATOMIC_SPECIES
Ta 180.95 Ta.upf
Rh 102.91 Rh.upf
K 39.10 K.upf
ATOMIC_POSITIONS crystal
Ta 0.5463 0.5463 0.4144
Ta 0.9537 0.9537 0.0856
Rh 0.2500 0.2500 0.2500
K 0.7500 0.7500 0.7500
CELL_PARAMETERS angstrom
5.8029 0.0124 0.0063
5.0631 2.8353 0.0063
1.4859 0.3894 5.3754

---

Entry 3:
! TbPuBi2 PBE optimized geometry; values from VASP
! Formation energy from the elements, meV per atom: -502
! Calculated volume, Å³ per atom: 29.255
! Total magnetization, μB per atom: 1.464
&SYSTEM
  ibrav = 0, nat = 4, ntyp = 3
/
ATOMIC_SPECIES
Tb 158.93 Tb.upf
Bi 208.98 Bi.upf
Pu 244.00 Pu.upf
ATOMIC_POSITIONS crystal
Tb 0.5000 0.0000 0.0000
Bi 0.0000 0.0000 0.5000
Bi 0.0000 0.5000 0.0000
Pu 0.5000 0.5000 0.5000
CELL_PARAMETERS angstrom
-0.8186 -1.5919 -2.8913
4.2749 -3.9055 0.9400
-3.7606 -3.4084 2.9413

---

Entry 4:
! Mg2HgBi PBE optimized geometry; values from VASP
! Formation energy from the elements, meV per atom: -162
! Calculated volume, Å³ per atom: 25.014
! Total magnetization, μB per atom: 0.000
&SYSTEM
  ibrav = 0, nat = 4, ntyp = 3
/
ATOMIC_SPECIES
Mg 24.30 Mg.upf
Bi 208.98 Bi.upf
Hg 200.59 Hg.upf
ATOMIC_POSITIONS crystal
Mg 0.7500 0.7500 0.7500
Mg 0.2500 0.2500 0.2500
Bi 0.5000 0.5000 0.5000
Hg 0.0000 0.0000 0.0000
CELL_PARAMETERS angstrom
0.0000 3.6847 3.6847
3.6847 0.0000 3.6847
3.6847 3.6847 0.0000

---

Entry 5:
! Al2FeOsAu PBE optimized geometry; values from VASP
! Formation energy from the elements, meV per atom: 1051
! Calculated volume, Å³ per atom: 17.327
! Total magnetization, μB per atom: 0.374
&SYSTEM
  ibrav = 0, nat = 5, ntyp = 4
/
ATOMIC_SPECIES
Fe 55.84 Fe.upf
Os 190.23 Os.upf
Au 196.97 Au.upf
Al 26.98 Al.upf
ATOMIC_POSITIONS crystal
Fe 0.0000 0.0000 0.0000
Os 0.5000 0.5000 0.5000
Au 0.0000 0.5000 0.0000
Al 0.0000 0.0000 0.5000
Al 0.5000 0.0000 0.0000
CELL_PARAMETERS angstrom
4.3322 0.0000 0.0000
0.0000 4.6162 0.0000
0.0000 0.0000 4.3322

---

Entry 6:
! Y2Er3Sc3 PBE optimized geometry; values from VASP
! Formation energy from the elements, meV per atom: 237
! Calculated volume, Å³ per atom: 29.811
! Total magnetization, μB per atom: 0.677
&SYSTEM
  ibrav = 0, nat = 8, ntyp = 3
/
ATOMIC_SPECIES
Y 88.91 Y.upf
Er 167.26 Er.upf
Sc 44.96 Sc.upf
ATOMIC_POSITIONS crystal
Y 0.2520 0.2520 0.7480
Y 0.7480 0.7480 0.2520
Er 0.2605 0.7395 0.5000
Er 0.5000 0.2605 0.2605
Er 0.7395 0.5000 0.7395
Sc 0.7750 0.0000 0.7750
Sc 0.0000 0.2250 0.2250
Sc 0.2250 0.7750 0.0000
CELL_PARAMETERS angstrom
6.2135 0.2750 -0.2823
0.2820 6.2132 -0.2823
-0.2753 -0.2750 6.2138

---

Entry 7:
! ZrCr2Ru2 PBE optimized geometry; values from VASP
! Formation energy from the elements, meV per atom: 77
! Calculated volume, Å³ per atom: 16.194
! Total magnetization, μB per atom: 0.004
&SYSTEM
  ibrav = 0, nat = 5, ntyp = 3
/
ATOMIC_SPECIES
Zr 91.22 Zr.upf
Ru 101.07 Ru.upf
Cr 52.00 Cr.upf
ATOMIC_POSITIONS crystal
Zr 0.0000 0.0000 0.0000
Ru 0.6249 0.6249 0.7502
Ru 0.3751 0.3751 0.2498
Cr 0.2500 0.7500 0.5000
Cr 0.7500 0.2500 0.5000
CELL_PARAMETERS angstrom
-2.9592 -2.6250 0.7500
1.8171 -2.7194 -2.3480
1.9567 -4.3933 3.1507

---

Entry 8:
! AgSeS2 PBE optimized geometry; values from VASP
! Calculated volume, Å³ per atom: 24.805
! Total magnetization, μB per atom: 0.000
! ΔE_f (raw), eV/atom: 0.0881
&SYSTEM
  ibrav = 0, nat = 16, ntyp = 3
/
ATOMIC_SPECIES
Ag 107.87 Ag.upf
S 32.06 S.upf
Se 78.96 Se.upf
ATOMIC_POSITIONS crystal
Ag 0.3317 0.7008 0.5239
Ag 0.1683 0.2008 0.0239
Ag 0.8317 0.7992 0.9761
Ag 0.6683 0.2992 0.4761
S 0.8330 0.4125 0.8128
S 0.3330 0.0875 0.6872
S 0.6670 0.9125 0.3128
S 0.3569 0.3075 0.3678
S 0.8569 0.1925 0.1322
S 0.1431 0.8075 0.8678
S 0.6431 0.6925 0.6322
S 0.1670 0.5875 0.1872
Se 0.6871 0.3150 0.9891
Se 0.3129 0.6850 0.0109
Se 0.8129 0.8150 0.4891
Se 0.1871 0.1850 0.5109
CELL_PARAMETERS angstrom
-0.9773 5.3053 -5.8104
4.8888 -4.0185 -4.4914
-7.3901 -1.4292 -0.0620

---

Entry 9:
! HfInSb2I PBE optimized geometry; values from VASP
! Calculated volume, Å³ per atom: 34.213
! Total magnetization, μB per atom: 0.000
! ΔE_f (raw), eV/atom: 0.9712
&SYSTEM
  ibrav = 0, nat = 5, ntyp = 4
/
ATOMIC_SPECIES
Sb 121.76 Sb.upf
Hf 178.49 Hf.upf
In 114.82 In.upf
I 126.90 I.upf
ATOMIC_POSITIONS crystal
Sb 0.0000 0.5000 0.0000
Sb 0.5000 0.0000 0.0000
Hf 0.5000 0.5000 0.5000
In 0.0000 0.0000 0.0000
I 0.0000 0.0000 0.5000
CELL_PARAMETERS angstrom
5.5173 0.0000 0.0000
0.0000 5.5173 0.0000
0.0000 0.0000 5.6196

---

Entry 10:
! Zr2FeRe PBE optimized geometry; values from VASP
! Formation energy from the elements, meV per atom: 111
! Calculated volume, Å³ per atom: 17.533
! Total magnetization, μB per atom: 0.338
&SYSTEM
  ibrav = 0, nat = 4, ntyp = 3
/
ATOMIC_SPECIES
Re 186.21 Re.upf
Zr 91.22 Zr.upf
Fe 55.84 Fe.upf
ATOMIC_POSITIONS crystal
Re 0.5000 0.7500 0.7500
Zr 0.0000 0.5107 0.4988
Zr 0.0000 0.9893 0.0012
Fe 0.5000 0.2500 0.2500
CELL_PARAMETERS angstrom
4.3030 0.0000 0.0000
0.0000 2.8850 0.0478
0.0000 0.8508 5.6635

---

Entry 11:
! SmEu2H PBE optimized geometry; values from VASP
! Calculated volume, Å³ per atom: 27.716
! Total energy, eV per atom: -7.299
! Total magnetization, μB per atom: 3.760
&SYSTEM
  ibrav = 0, nat = 4, ntyp = 3
/
ATOMIC_SPECIES
H 1.01 H.upf
Sm 150.36 Sm.upf
Eu 151.96 Eu.upf
ATOMIC_POSITIONS crystal
H 0.0000 0.0000 0.0000
Sm 0.5000 0.5000 0.5000
Eu 0.7206 0.7206 0.8381
Eu 0.2794 0.2794 0.1619
CELL_PARAMETERS angstrom
3.7183 0.0000 0.0000
1.8591 3.2201 0.0000
1.8591 1.0734 9.2595

---

Entry 12:
! Sr6PtRh PBE optimized geometry; values from VASP
! Formation energy from the elements, meV per atom: -378
! Calculated volume, Å³ per atom: 41.661
! Total magnetization, μB per atom: 0.000
&SYSTEM
  ibrav = 0, nat = 16, ntyp = 3
/
ATOMIC_SPECIES
Sr 87.62 Sr.upf
Pt 195.08 Pt.upf
Rh 102.91 Rh.upf
ATOMIC_POSITIONS crystal
Sr 0.9926 0.6683 0.8768
Sr 0.0074 0.3317 0.1232
Sr 0.6683 0.6756 0.1232
Sr 0.3244 0.9926 0.1232
Sr 0.3244 0.3317 0.3768
Sr 0.6756 0.0074 0.8768
Sr 0.6756 0.6683 0.6232
Sr 0.0074 0.6756 0.3768
Sr 0.3317 0.0074 0.6232
Sr 0.9926 0.3244 0.6232
Sr 0.3317 0.3244 0.8768
Sr 0.6683 0.9926 0.3768
Pt 0.6667 0.3333 0.7500
Pt 0.3333 0.6667 0.2500
Rh 0.0000 0.0000 0.0000
Rh 0.0000 0.0000 0.5000
CELL_PARAMETERS angstrom
-3.6541 6.1338 -1.8040
-3.4770 -5.4586 3.5135
3.5369 5.7755 12.4731

---

Repeat the fifth record exactly.
! Al2FeOsAu PBE optimized geometry; values from VASP
! Formation energy from the elements, meV per atom: 1051
! Calculated volume, Å³ per atom: 17.327
! Total magnetization, μB per atom: 0.374
&SYSTEM
  ibrav = 0, nat = 5, ntyp = 4
/
ATOMIC_SPECIES
Fe 55.84 Fe.upf
Os 190.23 Os.upf
Au 196.97 Au.upf
Al 26.98 Al.upf
ATOMIC_POSITIONS crystal
Fe 0.0000 0.0000 0.0000
Os 0.5000 0.5000 0.5000
Au 0.0000 0.5000 0.0000
Al 0.0000 0.0000 0.5000
Al 0.5000 0.0000 0.0000
CELL_PARAMETERS angstrom
4.3322 0.0000 0.0000
0.0000 4.6162 0.0000
0.0000 0.0000 4.3322